First-principles (PBE-GGA) data for crystalline Pu3I at its relaxed geometry, as listed in the Alexandria database.

Cell lengths 6.6189, 6.6189, 5.7011 Å; angles 90.00, 90.00, 120.00 degrees
With the nearest neighbours (Å) after each atom.
Sites, in units of the cell vectors:
Pu: 0.1678 0.3355 0.2500  8 Pu 3.29-3.44, 4 I 3.31-3.42
Pu: 0.6645 0.8322 0.2500  8 Pu 3.29-3.44, 4 I 3.31-3.42
Pu: 0.1678 0.8322 0.2500  8 Pu 3.29-3.44, 4 I 3.31-3.42
Pu: 0.8322 0.6645 0.7500  8 Pu 3.29-3.44, 4 I 3.31-3.42
Pu: 0.3355 0.1678 0.7500  8 Pu 3.29-3.44, 4 I 3.31-3.42
Pu: 0.8322 0.1678 0.7500  8 Pu 3.29-3.44, 4 I 3.31-3.42
I: 0.3333 0.6667 0.7500  12 Pu 3.31-3.42
I: 0.6667 0.3333 0.2500  12 Pu 3.31-3.42

Properties
DOS at the Fermi energy, states/eV per cell: 37.9
Energy above the lowest structure with this stoichiometry, meV per atom: 41.3


First-principles (PBE-GGA) data for crystalline AlAu2Se at its relaxed geometry, as listed in the Alexandria database.

Cell lengths 3.4666, 3.8425, 6.3196 Å; angles 90.24, 90.00, 90.00 degrees
With the nearest neighbours (Å) after each atom.
Sites, in units of the cell vectors:
Au: 0.0000 0.0190 0.9773  4 Al 2.70-2.98, 4 Au 2.89-2.92
Au: 0.5000 0.5157 0.1868  1 Al 2.50
Al: 0.5000 0.5715 0.7926  2 Se 2.44, 3 Au 2.50-2.70
Se: 0.0000 0.3938 0.5432  2 Al 2.44

Properties
DOS at the Fermi energy, states/eV per cell: 0.8
Uncorrected energy, eV per atom: -3.600


First-principles (PBE-GGA) data for crystalline Er2Tc2Ge2B at its relaxed geometry, as listed in the Alexandria database.

Cell lengths 4.0309, 5.7949, 6.2350 Å; angles 70.58, 71.14, 69.65 degrees
With the nearest neighbours (Å) after each atom.
Sites, in units of the cell vectors:
Er: 0.5703 0.1557 0.7037  2 B 2.66
Er: 0.4297 0.8443 0.2963  2 B 2.66
Tc: 0.2109 0.6647 0.9135  1 B 2.01
Tc: 0.7891 0.3353 0.0865  1 B 2.01
Ge: 0.1427 0.3848 0.3298  3 Tc 2.53-2.55, 1 Ge 2.62
Ge: 0.8573 0.6152 0.6702  3 Tc 2.53-2.55, 1 Ge 2.62
B: 0.0000 0.0000 0.0000  2 Tc 2.01

Properties
DOS at the Fermi energy, states/eV per cell: 3.6
E_form, eV/atom: -0.594


First-principles (PBE-GGA) data for crystalline AcPuZnRu at its relaxed geometry, as listed in the Alexandria database.

Cell lengths 5.1333, 5.1333, 5.1333 Å; angles 60.00, 60.00, 60.00 degrees
With the nearest neighbours (Å) after each atom.
Sites, in units of the cell vectors:
Ru: 0.2500 0.2500 0.2500  4 Ac 3.14, 4 Pu 3.14
Ac: 0.0000 0.0000 0.0000  4 Zn 3.14, 4 Ru 3.14
Zn: 0.7500 0.7500 0.7500  4 Ac 3.14, 4 Pu 3.14
Pu: 0.5000 0.5000 0.5000  4 Ru 3.14, 4 Zn 3.14

Properties
DOS at the Fermi energy, states/eV per cell: 11.0
E_form, eV/atom: 0.008


First-principles (PBE-GGA) data for crystalline KAl2Ni at its relaxed geometry, as listed in the Alexandria database.

Cell lengths 4.7166, 4.7166, 4.7166 Å; angles 60.00, 60.00, 60.00 degrees
With the nearest neighbours (Å) after each atom.
Sites, in units of the cell vectors:
Ni: 0.5000 0.5000 0.5000  8 Al 2.89
K: 0.0000 0.0000 0.0000  8 Al 2.89
Al: 0.2500 0.2500 0.2500  4 K 2.89, 4 Ni 2.89
Al: 0.7500 0.7500 0.7500  4 K 2.89, 4 Ni 2.89

Properties
DOS at the Fermi energy, states/eV per cell: 2.5
Energy above the lowest structure with this stoichiometry, meV per atom: 641.1
E_form, eV/atom: 0.517


First-principles (PBE-GGA) data for crystalline Pm3HfH at its relaxed geometry, as listed in the Alexandria database.

Cell lengths 4.9711, 4.9711, 4.9711 Å; angles 90.00, 90.00, 90.00 degrees
With the nearest neighbours (Å) after each atom.
Sites, in units of the cell vectors:
H: 0.0000 0.0000 0.0000  6 Pm 2.49
Hf: 0.5000 0.5000 0.5000  12 Pm 3.52
Pm: 0.0000 0.5000 0.0000  2 H 2.49
Pm: 0.0000 0.0000 0.5000  2 H 2.49
Pm: 0.5000 0.0000 0.0000  2 H 2.49

Properties
DOS at the Fermi energy, states/eV per cell: 4.9
Uncorrected energy, eV per atom: -5.524